(1)
This record from Alexandria describes PmScBiAu after structural relaxation. The functional is GGA-PBE.

a = 7.404 Å, b = 7.404 Å, c = 7.404 Å
α = 90.00°, β = 90.00°, γ = 90.00°
Space group F-43m (No. 216)
Inequivalent atoms, fractional coordinates:
Pm  0.000  0.000  0.000 [4 per cell]
Sc  0.000  0.000  0.500 [4 per cell]
Bi  0.250  0.250  0.250 [4 per cell]
Au  0.250  0.250  0.750 [4 per cell]

Summary:
**Energy relative to the elements**: -590 meV per atom
**Crystal system**: cubic


(2)
This record from Alexandria describes ThPb4 after structural relaxation. The functional is GGA-PBE.

a = 6.103 Å, b = 6.103 Å, c = 6.103 Å
α = 90.00°, β = 90.00°, γ = 90.00°
Space group Pm-3m (No. 221)
Inequivalent atoms, fractional coordinates:
Th  0.000  0.000  0.000 [1 per cell]
Pb  0.000  0.000  0.500 [3 per cell]
Pb  0.500  0.500  0.500 [1 per cell]

Summary:
**Energy relative to the elements**: 667 meV per atom
**Crystal system**: cubic


(3)
This record from Alexandria describes CaAcCeEu after structural relaxation. The functional is GGA-PBE.

a = 8.659 Å, b = 8.659 Å, c = 8.659 Å
α = 90.00°, β = 90.00°, γ = 90.00°
Space group F-43m (No. 216)
Inequivalent atoms, fractional coordinates:
Ca  0.000  0.000  0.000 [4 per cell]
Ac  0.250  0.250  0.750 [4 per cell]
Ce  0.000  0.000  0.500 [4 per cell]
Eu  0.250  0.250  0.250 [4 per cell]

Summary:
**Energy relative to the elements**: 222 meV per atom
**Crystal system**: cubic


(4)
This record from Alexandria describes CrCoRh2 after structural relaxation. The functional is GGA-PBE.

a = 2.656 Å, b = 2.656 Å, c = 7.236 Å
α = 90.00°, β = 90.00°, γ = 90.00°
Space group P4mm (No. 99)
Inequivalent atoms, fractional coordinates:
Cr  0.000  0.000  0.000 [1 per cell]
Co  0.500  0.500  0.773 [1 per cell]
Rh  0.000  0.000  0.527 [1 per cell]
Rh  0.500  0.500  0.243 [1 per cell]

Summary:
**Energy relative to the elements**: 50 meV per atom
**Crystal system**: tetragonal


(5)
This record from Alexandria describes Sm5Er4Th4 after structural relaxation. The functional is GGA-PBE.

a = 12.903 Å, b = 12.903 Å, c = 5.055 Å
α = 90.00°, β = 90.00°, γ = 90.00°
Space group I4/m (No. 87)
Inequivalent atoms, fractional coordinates:
Sm  0.000  0.000  0.000 [2 per cell]
Sm  0.038  0.196  0.500 [8 per cell]
Er  0.154  0.766  0.000 [8 per cell]
Th  0.074  0.385  0.000 [8 per cell]

Summary:
**Energy relative to the elements**: 35 meV per atom
**Crystal system**: tetragonal


(6)
This record from Alexandria describes U3Si4Os2 after structural relaxation. The functional is GGA-PBE.

a = 10.478 Å, b = 4.161 Å, c = 7.928 Å
α = 90.00°, β = 107.92°, γ = 90.00°
Space group C2/m (No. 12)
Inequivalent atoms, fractional coordinates:
U  0.000  0.000  0.000 [2 per cell]
U  0.177  0.500  0.657 [4 per cell]
Si  0.039  0.000  0.379 [4 per cell]
Si  0.224  0.500  0.056 [4 per cell]
Os  0.107  0.500  0.277 [4 per cell]

Summary:
**Crystal system**: monoclinic
**Uncorrected formation energy**: -0.381 eV per atom


(7)
This record from Alexandria describes Li4Y3BiS8 after structural relaxation. The functional is GGA-PBE.

a = 7.8757 Å, b = 7.8757 Å, c = 18.6472 Å
α = 90.00°, β = 90.00°, γ = 120.00°
Space group R-3m (No. 166, hexagonal axes)
Inequivalent atoms, fractional coordinates:
Li  0.0000  0.0000  0.0000 [3 per cell]
Li  0.0000  0.5000  0.0000 [9 per cell]
Y  0.0000  0.5000  0.5000 [9 per cell]
Bi  0.0000  0.0000  0.5000 [3 per cell]
S  0.0000  0.0000  0.2497 [6 per cell]
S  0.0060  0.5030  0.7485 [18 per cell]

Summary:
**Crystal system**: trigonal
**Uncorrected formation energy**: -1.571 eV per atom


(8)
This record from Alexandria describes Tb4NdEu after structural relaxation. The functional is GGA-PBE.

a = 9.522 Å, b = 9.522 Å, c = 9.522 Å
α = 90.00°, β = 90.00°, γ = 90.00°
Space group F-43m (No. 216)
Inequivalent atoms, fractional coordinates:
Tb  0.123  0.123  0.377 [16 per cell]
Nd  0.250  0.250  0.750 [4 per cell]
Eu  0.000  0.000  0.000 [4 per cell]

Summary:
**Energy relative to the elements**: 244 meV per atom
**Crystal system**: cubic


(9)
This record from Alexandria describes DyYAg6 after structural relaxation. The functional is GGA-PBE.

a = 9.348 Å, b = 4.496 Å, c = 8.973 Å
α = 90.00°, β = 118.53°, γ = 90.00°
Space group C2/m (No. 12)
Inequivalent atoms, fractional coordinates:
Dy  0.000  0.000  0.000 [2 per cell]
Y  0.000  0.000  0.500 [2 per cell]
Ag  0.001  0.500  0.250 [4 per cell]
Ag  0.249  0.500  0.124 [4 per cell]
Ag  0.250  0.000  0.374 [4 per cell]

Summary:
**Energy relative to the elements**: -215 meV per atom
**Crystal system**: monoclinic


(10)
This record from Alexandria describes MgZnSi after structural relaxation. The functional is GGA-PBE.

a = 3.853 Å, b = 4.404 Å, c = 11.951 Å
α = 90.00°, β = 90.00°, γ = 90.00°
Space group Fmm2 (No. 42)
Inequivalent atoms, fractional coordinates:
Mg  0.000  0.000  0.000 [4 per cell]
Zn  0.000  0.000  0.675 [4 per cell]
Si  0.000  0.000  0.328 [4 per cell]

Summary:
**Crystal system**: orthorhombic
**Uncorrected formation energy**: 0.114 eV per atom


(11)
This record from Alexandria describes Nd2ErPaAs4 after structural relaxation. The functional is GGA-PBE.

a = 7.197 Å, b = 4.178 Å, c = 7.257 Å
α = 90.00°, β = 109.42°, γ = 90.00°
Space group P2/m (No. 10)
Inequivalent atoms, fractional coordinates:
Nd  0.000  0.000  0.000 [1 per cell]
Nd  0.500  0.500  0.000 [1 per cell]
Er  0.000  0.500  0.500 [1 per cell]
Pa  0.500  0.000  0.500 [1 per cell]
As  0.248  0.000  0.735 [2 per cell]
As  0.256  0.500  0.264 [2 per cell]

Summary:
**Energy relative to the elements**: -1406 meV per atom
**Crystal system**: monoclinic


(12)
This record from Alexandria describes Sr2ErReO6 after structural relaxation. The functional is GGA-PBE.

a = 5.873 Å, b = 5.873 Å, c = 4.181 Å
α = 90.00°, β = 90.00°, γ = 90.00°
Space group P4/mmm (No. 123)
Inequivalent atoms, fractional coordinates:
Sr  0.000  0.500  0.000 [2 per cell]
Er  0.000  0.000  0.500 [1 per cell]
Re  0.500  0.500  0.500 [1 per cell]
O  0.000  0.000  0.000 [1 per cell]
O  0.266  0.266  0.500 [4 per cell]
O  0.500  0.500  0.000 [1 per cell]

Summary:
**Crystal system**: tetragonal
**Uncorrected formation energy**: -2.550 eV per atom


| no. | total magnetic moment (μB/cell) |
| --- | --- |
| 1 | 4.01 |
| 2 | 0.00 |
| 3 | 23.08 |
| 4 | 1.35 |
| 5 | 0.00 |
| 6 | 7.75 |
| 7 | 0.00 |
| 8 | 28.47 |
| 9 | 0.00 |
| 10 | 0.00 |
| 11 | 0.00 |
| 12 | 1.92 |